The following is a GGA-PBE calculation of an optimized crystal structure of CeDyGa2Pt2, from Alexandria.

Structure (extended XYZ):
```
6
Lattice="4.4923 0.0000 0.0000 -2.2462 3.8905 0.0000 0.0000 0.0000 7.0038" Properties=species:S:1:pos:R:3 pbc="T T T"
Ce 0.0000 0.0000 0.0000
Dy 0.0000 0.0000 3.5019
Ga 0.0000 2.5936 1.8418
Ga 2.2462 1.2968 5.1619
Pt 0.0000 2.5936 5.1774
Pt 2.2462 1.2968 1.8264
```

Values from the calculation:
Calculated formation energy: -1032 meV/atom
Raw total energy: -5.81 eV/atom

***

The following is a GGA-PBE calculation of an optimized crystal structure of CeDyGaPt, from Alexandria.

Structure (extended XYZ):
```
4
Lattice="4.4866 0.0000 0.0000 0.0000 1.9329 5.4426 0.0000 -1.9329 5.4426" Properties=species:S:1:pos:R:3 pbc="T T T"
Ce 0.0000 0.0000 0.0000
Dy 2.2433 0.0000 3.0804
Ga 2.2433 0.0000 6.1878
Pt 0.0000 0.0000 7.8414
```

Values from the calculation:
Calculated formation energy: -838 meV/atom
Raw total energy: -5.74 eV/atom
Distance to the lowest polymorph of the same formula: 0.0 meV/atom

***

The following is a GGA-PBE calculation of an optimized crystal structure of Ce2DyGa2Pt7, from Alexandria.

Structure (extended XYZ):
```
12
Lattice="2.9104 -2.8768 0.0000 2.9104 2.8768 0.0000 -2.1750 0.0000 13.9786" Properties=species:S:1:pos:R:3 pbc="T T T"
Ce -0.0705 0.0000 4.9738
Ce 3.7162 0.0000 9.0048
Dy 0.0000 0.0000 0.0000
Ga 0.7336 0.0000 10.4196
Ga 2.9121 0.0000 3.5590
Pt 1.4572 1.4378 2.1307
Pt 0.8926 0.0000 7.9594
Pt 2.1886 1.4378 11.8480
Pt 2.9104 0.0000 0.0000
Pt 1.4572 -1.4378 2.1307
Pt 2.7531 0.0000 6.0192
Pt 2.1886 -1.4378 11.8480
```

Values from the calculation:
Calculated formation energy: -967 meV/atom
Raw total energy: -6.37 eV/atom

***

The following is a GGA-PBE calculation of an optimized crystal structure of CeDyGa5Pt2, from Alexandria.

Structure (extended XYZ):
```
9
Lattice="4.7633 0.0000 0.0000 0.0000 4.7633 0.0000 0.0000 0.0000 9.1866" Properties=species:S:1:pos:R:3 pbc="T T T"
Ce 0.0000 0.0000 0.0000
Dy 0.0000 0.0000 4.5933
Ga 0.0000 2.3816 2.7592
Ga 0.0000 2.3816 6.4274
Ga 2.3816 0.0000 2.7592
Ga 2.3816 0.0000 6.4274
Ga 2.3816 2.3816 0.0000
Pt 2.3816 2.3816 2.3223
Pt 2.3816 2.3816 6.8643
```

Values from the calculation:
Calculated formation energy: -361 meV/atom
Raw total energy: -4.56 eV/atom

***

The following is a GGA-PBE calculation of an optimized crystal structure of CeDyGaPt, from Alexandria.

Structure (extended XYZ):
```
4
Lattice="0.0000 3.5828 3.5828 3.5828 0.0000 3.5828 3.5828 3.5828 0.0000" Properties=species:S:1:pos:R:3 pbc="T T T"
Ce 0.0000 0.0000 0.0000
Dy 3.5828 3.5828 3.5828
Ga 5.3742 5.3742 5.3742
Pt 1.7914 1.7914 1.7914
```

Values from the calculation:
Calculated formation energy: -752 meV/atom
Raw total energy: -5.65 eV/atom
Distance to the lowest polymorph of the same formula: 86.2 meV/atom

***

The following is a GGA-PBE calculation of an optimized crystal structure of CeDyPuGa, from Alexandria.

Structure (extended XYZ):
```
4
Lattice="0.0000 3.6393 3.6393 3.6393 0.0000 3.6393 3.6393 3.6393 0.0000" Properties=species:S:1:pos:R:3 pbc="T T T"
Ce 0.0000 0.0000 0.0000
Dy 1.8197 1.8197 1.8197
Pu 5.4590 5.4590 5.4590
Ga 3.6393 3.6393 3.6393
```

Values from the calculation:
Calculated formation energy: -77 meV/atom
Raw total energy: -7.05 eV/atom

***

The following is a GGA-PBE calculation of an optimized crystal structure of CeDyGaRh, from Alexandria.

Structure (extended XYZ):
```
4
Lattice="3.8392 0.0000 0.0000 0.0000 2.1040 5.6500 0.0000 -2.1040 5.6500" Properties=species:S:1:pos:R:3 pbc="T T T"
Ce 0.0000 0.0000 0.0000
Dy 1.9196 0.0000 8.1271
Ga 0.0000 0.0000 3.3123
Rh 1.9196 0.0000 5.1910
```

Values from the calculation:
Calculated formation energy: -704 meV/atom
Raw total energy: -5.93 eV/atom
Distance to the lowest polymorph of the same formula: 0.0 meV/atom

***

The following is a GGA-PBE calculation of an optimized crystal structure of CeDyGaRh, from Alexandria.

Structure (extended XYZ):
```
4
Lattice="0.0000 3.5395 3.5395 3.5395 0.0000 3.5395 3.5395 3.5395 0.0000" Properties=species:S:1:pos:R:3 pbc="T T T"
Ce 0.0000 0.0000 0.0000
Dy 3.5395 3.5395 3.5395
Ga 5.3092 5.3092 5.3092
Rh 1.7697 1.7697 1.7697
```

Values from the calculation:
Calculated formation energy: -578 meV/atom
Raw total energy: -5.81 eV/atom
Distance to the lowest polymorph of the same formula: 126.2 meV/atom

***

N(E_F) values (in states/eV/f.u.) by entry order: 6.35; 6.71; 13.66; 12.43; 5.96; 9.78; 4.94; 5.48.